Entry from Alexandria: AlCo3H after structural relaxation (GGA-PBE).

Space group: No. 221
Total moment in μB per atom: 0.61
Total energy in eV per atom: -4.031

a b c (Å): 4.304 4.304 4.304
angles (deg): 90.00 90.00 90.00
Atoms (fractional coordinates):
Al (0.000, 0.000, 0.000)
Co (0.000, 0.000, 0.500)
Co (0.000, 0.500, 0.000)
Co (0.500, 0.000, 0.000)
H (0.500, 0.500, 0.500)